1.
Compound: TcAsAu2
Source: Alexandria via LeMat-Bulk
Functional: GGA-PBE
Structure: relaxed

Computed properties:
Formation energy ... 0.139 eV per atom
Space-group type ... No. 160
DFT total energy ... -5.25 eV/atom

```
12
Lattice="3.012 0.000 0.000 -1.506 2.609 0.000 0.000 0.000 26.682" Properties=species:S:1:pos:R:3 pbc="T T T"
Tc 0.000 0.000 0.000
Tc 0.000 1.739 17.788
Tc 1.506 0.870 8.894
As 0.000 0.000 7.144
As 0.000 1.739 24.932
As 1.506 0.870 16.038
Au 0.000 0.000 13.504
Au 0.000 0.000 20.060
Au 0.000 1.739 4.610
Au 0.000 1.739 11.166
Au 1.506 0.870 2.272
Au 1.506 0.870 22.398
```

=====

2.
Compound: Ca2AsS2
Source: Alexandria via LeMat-Bulk
Functional: GGA-PBE
Structure: relaxed

Computed properties:
Space-group type ... No. 127
ΔE to the lowest computed polymorph ... 0 meV/atom
Energy relative to the elements, uncorrected ... -6.0 eV/f.u.
DFT total energy ... -4.59 eV/atom

```
10
Lattice="7.723 0.000 0.000 0.000 7.723 0.000 0.000 0.000 3.694" Properties=species:S:1:pos:R:3 pbc="T T T"
Ca 1.232 2.630 0.000
Ca 2.630 6.491 0.000
Ca 5.093 1.232 0.000
Ca 6.491 5.093 0.000
As 0.000 0.000 1.847
As 3.862 3.862 1.847
S 1.180 5.041 1.847
S 2.682 1.180 1.847
S 5.041 6.544 1.847
S 6.544 2.682 1.847
```

=====

3.
Compound: MoI4
Source: Alexandria via LeMat-Bulk
Functional: GGA-PBE
Structure: relaxed

Computed properties:
Space-group type ... No. 221
Energy relative to the elements, uncorrected ... 1.5 eV/f.u.
DFT total energy ... -3.11 eV/atom

```
5
Lattice="5.588 0.000 0.000 0.000 5.588 0.000 0.000 0.000 5.588" Properties=species:S:1:pos:R:3 pbc="T T T"
Mo 0.000 0.000 0.000
I 0.000 0.000 2.794
I 0.000 2.794 0.000
I 2.794 0.000 0.000
I 2.794 2.794 2.794
```

=====

Look up the DFT total energy of the second one.
-4.59 eV/atom